The following is a DFT calculation (PBE with a Hubbard U) of crystalline YVO3 at its relaxed geometry.

Results
E_tot, eV/atom: -8.510
Total moment, μB per cell: 12.0

Cell lengths 6.1451, 6.1451, 12.0610 Å; angles 90.00, 90.00, 120.00 degrees
Space group P6_3cm (No. 185)
One atom of each set of equivalent atoms:
1 Y 0.0000 0.0000 0.0000 [2 per cell]
2 Y 0.3333 0.6667 0.4558 [4 per cell]
3 V 0.0000 0.3355 0.2243 [6 per cell]
4 O 0.0000 0.0000 0.2083 [2 per cell]
5 O 0.0000 0.3059 0.3941 [6 per cell]
6 O 0.0000 0.3613 0.0654 [6 per cell]
7 O 0.3333 0.6667 0.2526 [4 per cell]